# SrTmAg PBE relaxed
# - Density of states at the Fermi level: 1.9 states/eV/cell
# - Energy: -3.12 eV per atom
# - Space-group type: I4mm, No. 107
# - E_form: -35 kJ/mol of formula units
# - Magnetization: 0.00 Bohr magnetons per cell
# - Mass density: 6.47 g cm⁻³
data_SrTmAg
_chemical_formula_sum 'Sr1 Tm1 Ag1'
_space_group_name_H-M_alt 'P 1'
_space_group_IT_number 1
_cell_length_a 3.740
_cell_length_b 3.740
_cell_length_c 7.192
_cell_angle_alpha 105.07
_cell_angle_beta 105.07
_cell_angle_gamma 90.00
loop_
_space_group_symop_operation_xyz
'x,y,z'
loop_
_atom_site_label
_atom_site_fract_x
_atom_site_fract_y
_atom_site_fract_z
Tm1 0.295 0.295 0.590
Sr1 0.019 0.019 0.037
Ag1 0.687 0.687 0.373

# Ca5Hf2N6 PBE relaxed
# - Energy: -7.23 eV per atom
# - Space-group type: C2/c, No. 15
# - Magnetization: 0.00 Bohr magnetons per cell
# - Mass density: 4.35 g cm⁻³
data_Ca5Hf2N6
_chemical_formula_sum 'Ca10 Hf4 N12'
_space_group_name_H-M_alt 'P 1'
_space_group_IT_number 1
_cell_length_a 6.281
_cell_length_b 6.281
_cell_length_c 14.643
_cell_angle_alpha 87.66
_cell_angle_beta 87.66
_cell_angle_gamma 58.04
loop_
_space_group_symop_operation_xyz
'x,y,z'
loop_
_atom_site_label
_atom_site_fract_x
_atom_site_fract_y
_atom_site_fract_z
N1 0.082 0.856 0.857
N2 0.732 0.623 0.820
N3 0.268 0.377 0.180
N4 0.728 0.771 0.540
N5 0.856 0.082 0.357
N6 0.918 0.144 0.143
N7 0.272 0.229 0.460
N8 0.377 0.268 0.680
N9 0.623 0.732 0.320
N10 0.771 0.728 0.040
N11 0.144 0.918 0.643
N12 0.229 0.272 0.960
Ca1 0.590 0.410 0.250
Ca2 0.373 0.839 0.961
Ca3 0.410 0.590 0.750
Ca4 0.091 0.202 0.783
Ca5 0.627 0.161 0.039
Ca6 0.839 0.373 0.461
Ca7 0.798 0.909 0.717
Ca8 0.909 0.798 0.217
Ca9 0.161 0.627 0.539
Ca10 0.202 0.091 0.283
Hf1 0.041 0.364 0.087
Hf2 0.959 0.636 0.913
Hf3 0.636 0.959 0.413
Hf4 0.364 0.041 0.587

# SmPaAg2O6 PBE relaxed
# - Density of states at the Fermi level: 10.8 states/eV/cell
# - Energy: -6.95 eV per atom
# - Space-group type: C2/m, No. 12
# - Magnetization: 0.00 Bohr magnetons per cell
# - Mass density: 7.59 g cm⁻³
data_SmPaAg2O6
_chemical_formula_sum 'Sm1 Pa1 Ag2 O6'
_space_group_name_H-M_alt 'P 1'
_space_group_IT_number 1
_cell_length_a 5.834
_cell_length_b 6.305
_cell_length_c 5.935
_cell_angle_alpha 122.09
_cell_angle_beta 119.02
_cell_angle_gamma 90.00
loop_
_space_group_symop_operation_xyz
'x,y,z'
loop_
_atom_site_label
_atom_site_fract_x
_atom_site_fract_y
_atom_site_fract_z
Ag1 0.803 0.749 0.497
Ag2 0.197 0.251 0.503
O1 0.429 0.766 0.532
O2 0.822 0.327 0.166
O3 0.178 0.673 0.834
O4 0.571 0.234 0.468
O5 0.178 0.161 0.834
O6 0.822 0.839 0.166
Sm1 0.000 0.500 0.000
Pa1 0.500 0.000 0.000

# CsK2TlBi PBE relaxed
# - Density of states at the Fermi level: 6.0 states/eV/cell
# - Energy: -1.90 eV per atom
# - Space-group type: P4/mmm, No. 123
# - E_form: -18 kJ/mol of formula units
# - Magnetization: 0.52 Bohr magnetons per cell
# - Mass density: 3.72 g cm⁻³
data_CsK2TlBi
_chemical_formula_sum 'Cs1 K2 Tl1 Bi1'
_space_group_name_H-M_alt 'P 1'
_space_group_IT_number 1
_cell_length_a 6.740
_cell_length_b 6.740
_cell_length_c 6.133
_cell_angle_alpha 90.00
_cell_angle_beta 90.00
_cell_angle_gamma 90.00
loop_
_space_group_symop_operation_xyz
'x,y,z'
loop_
_atom_site_label
_atom_site_fract_x
_atom_site_fract_y
_atom_site_fract_z
Bi1 0.000 0.000 0.500
K1 0.000 0.500 0.000
K2 0.500 0.000 0.000
Tl1 0.000 0.000 0.000
Cs1 0.500 0.500 0.500

# Th2FeGeC PBE relaxed
# - Density of states at the Fermi level: 8.0 states/eV/cell
# - Energy: -7.87 eV per atom
# - Space-group type: P2_1/m, No. 11
# - E_form: -214 kJ/mol of formula units
# - Magnetization: 2.58 Bohr magnetons per cell
# - Mass density: 9.86 g cm⁻³
data_Th2FeGeC
_chemical_formula_sum 'Th4 Fe2 Ge2 C2'
_space_group_name_H-M_alt 'P 1'
_space_group_IT_number 1
_cell_length_a 4.037
_cell_length_b 6.440
_cell_length_c 8.353
_cell_angle_alpha 110.33
_cell_angle_beta 90.00
_cell_angle_gamma 90.00
loop_
_space_group_symop_operation_xyz
'x,y,z'
loop_
_atom_site_label
_atom_site_fract_x
_atom_site_fract_y
_atom_site_fract_z
Fe1 0.250 0.523 0.747
Fe2 0.750 0.477 0.253
Th1 0.750 0.771 0.031
Th2 0.250 0.229 0.969
Th3 0.250 0.222 0.396
Th4 0.750 0.778 0.604
C1 0.250 0.825 0.823
C2 0.750 0.175 0.177
Ge1 0.250 0.697 0.299
Ge2 0.750 0.303 0.701

# LiPmHgSb PBE relaxed
# - Density of states at the Fermi level: 2.7 states/eV/cell
# - Energy: -3.35 eV per atom
# - Space-group type: F-43m, No. 216
# - Magnetization: 0.00 Bohr magnetons per cell
# - Mass density: 7.83 g cm⁻³
data_LiPmHgSb
_chemical_formula_sum 'Li1 Pm1 Hg1 Sb1'
_space_group_name_H-M_alt 'P 1'
_space_group_IT_number 1
_cell_length_a 5.220
_cell_length_b 5.220
_cell_length_c 5.220
_cell_angle_alpha 60.00
_cell_angle_beta 60.00
_cell_angle_gamma 60.00
loop_
_space_group_symop_operation_xyz
'x,y,z'
loop_
_atom_site_label
_atom_site_fract_x
_atom_site_fract_y
_atom_site_fract_z
Pm1 0.500 0.500 0.500
Sb1 0.250 0.250 0.250
Hg1 0.750 0.750 0.750
Li1 0.000 0.000 0.000

# LiLa2Cl PBE relaxed
# - Density of states at the Fermi level: 4.3 states/eV/cell
# - Energy: -3.94 eV per atom
# - Space-group type: P4/mmm, No. 123
# - Magnetization: 0.00 Bohr magnetons per cell
# - Mass density: 4.88 g cm⁻³
data_LiLa2Cl
_chemical_formula_sum 'Li1 La2 Cl1'
_space_group_name_H-M_alt 'P 1'
_space_group_IT_number 1
_cell_length_a 3.499
_cell_length_b 3.499
_cell_length_c 8.903
_cell_angle_alpha 90.00
_cell_angle_beta 90.00
_cell_angle_gamma 90.00
loop_
_space_group_symop_operation_xyz
'x,y,z'
loop_
_atom_site_label
_atom_site_fract_x
_atom_site_fract_y
_atom_site_fract_z
Cl1 0.500 0.500 0.750
La1 0.000 0.000 0.987
La2 0.000 0.000 0.513
Li1 0.500 0.500 0.250

# CeRh2O5 PBE relaxed
# - Energy: -7.39 eV per atom
# - Space-group type: Pnma, No. 62
# - Magnetization: 0.00 Bohr magnetons per cell
# - Mass density: 7.53 g cm⁻³
data_CeRh2O5
_chemical_formula_sum 'Ce4 Rh8 O20'
_space_group_name_H-M_alt 'P 1'
_space_group_IT_number 1
_cell_length_a 5.210
_cell_length_b 7.280
_cell_length_c 9.905
_cell_angle_alpha 90.00
_cell_angle_beta 90.00
_cell_angle_gamma 90.00
loop_
_space_group_symop_operation_xyz
'x,y,z'
loop_
_atom_site_label
_atom_site_fract_x
_atom_site_fract_y
_atom_site_fract_z
Ce1 0.206 0.264 0.250
Ce2 0.706 0.236 0.750
Ce3 0.794 0.736 0.750
Ce4 0.294 0.764 0.250
O1 0.595 0.515 0.622
O2 0.935 0.335 0.057
O3 0.905 0.015 0.622
O4 0.418 0.876 0.750
O5 0.595 0.515 0.878
O6 0.082 0.376 0.750
O7 0.405 0.485 0.378
O8 0.935 0.335 0.443
O9 0.065 0.665 0.557
O10 0.065 0.665 0.943
O11 0.565 0.835 0.443
O12 0.095 0.985 0.122
O13 0.095 0.985 0.378
O14 0.582 0.124 0.250
O15 0.405 0.485 0.122
O16 0.435 0.165 0.557
O17 0.565 0.835 0.057
O18 0.918 0.624 0.250
O19 0.435 0.165 0.943
O20 0.905 0.015 0.878
Rh1 0.250 0.416 0.941
Rh2 0.250 0.416 0.559
Rh3 0.750 0.584 0.441
Rh4 0.750 0.084 0.059
Rh5 0.250 0.916 0.941
Rh6 0.750 0.084 0.441
Rh7 0.750 0.584 0.059
Rh8 0.250 0.916 0.559